# PmGaNi5 | Alexandria | PBE | relaxed
data_PmGaNi5
_cell_length_a 7.942
_cell_length_b 4.875
_cell_length_c 10.041
_cell_angle_alpha 90.00
_cell_angle_beta 90.00
_cell_angle_gamma 90.00
_symmetry_space_group_name_H-M 'P n m a'
_symmetry_Int_Tables_number 62
_symmetry_space_group_name_Hall '-P 2ac 2n'
loop_
_atom_site_label
_atom_site_fract_x
_atom_site_fract_y
_atom_site_fract_z
Pm1 0.245 0.250 0.058
Ga1 0.145 0.750 0.858
Ni1 0.055 0.750 0.096
Ni2 0.065 0.004 0.306
Ni3 0.095 0.250 0.517
Ni4 0.186 0.250 0.751
# Size of the total moment, μB/cell: 0.00

# Mg2InPdPb | Alexandria | PBE | relaxed
data_Mg2InPdPb
_cell_length_a 5.039
_cell_length_b 5.039
_cell_length_c 5.129
_cell_angle_alpha 90.00
_cell_angle_beta 90.00
_cell_angle_gamma 90.00
_symmetry_space_group_name_H-M 'P 4/m m m'
_symmetry_Int_Tables_number 123
_symmetry_space_group_name_Hall '-P 4 2'
loop_
_atom_site_label
_atom_site_fract_x
_atom_site_fract_y
_atom_site_fract_z
Mg1 0.000 0.500 0.000
In1 0.000 0.000 0.500
Pd1 0.000 0.000 0.000
Pb1 0.500 0.500 0.500
# Size of the total moment, μB/cell: 0.00

Going through the records in order, we get ΔE_f values of -0.356; -0.155 eV per atom.